Entry 1:
Compound: CrIn2Os
Source: the Alexandria database
Functional: PBE-GGA
Structure: relaxed

The space group is C2/m (No. 12) and the conventional cell measures 5.8807, 9.1750 and 3.0216 Å, with angles of 90.00, 117.31 and 90.00 degrees. The inequivalent atoms are Cr at (0.0000, 0.0000, 0.0000), In at (0.2500, 0.2500, 0.5000) and Os at (0.0000, 0.5000, 0.0000).

The calculation puts the energy of formation from the pure elements at 614 meV per atom. The polymorph energy (0 for the lowest one) is 367.4 meV/atom.

Entry 2:
Compound: CoRu2W
Source: the Alexandria database
Functional: PBE-GGA
Structure: relaxed

The space group is P4mm (No. 99) and the conventional cell measures 2.6990, 2.6990 and 7.5179 Å, with angles of 90.00, 90.00 and 90.00 degrees. The inequivalent atoms are Co at (0.0000, 0.0000, 0.0000), Ru at (0.0000, 0.0000, 0.4855), Ru at (0.5000, 0.5000, 0.2428) and W at (0.5000, 0.5000, 0.7650).

The calculation puts the energy of formation from the pure elements at 119 meV per atom. The polymorph energy (0 for the lowest one) is 145.1 meV/atom.

Entry 3:
Compound: Rb2GaRhI6
Source: the Alexandria database
Functional: PBE-GGA
Structure: relaxed

The space group is I4/mmm (No. 139) and the conventional cell measures 8.1938, 8.1938 and 11.5777 Å, with angles of 90.00, 90.00 and 90.00 degrees. The inequivalent atoms are Rb at (0.0000, 0.5000, 0.2500), Ga at (0.0000, 0.0000, 0.0000), Rh at (0.0000, 0.0000, 0.5000), I at (0.0000, 0.0000, 0.2645) and I at (0.2352, 0.2352, 0.5000).

The value obtained for the formation energy from raw total energies is -0.737 eV/atom.

no.,VASP energy (eV/atom)
1,-5.97
2,-9.53
3,-2.90